{"formula": "Sc2Mn17C2", "functional": "PBE-GGA", "state": "relaxed", "volume_a3_per_cell": 250.14, "sg": "No. 12", "formation_enthalpy_0k_ev_per_atom": -0.07, "dos_ef_per_ev_atom": 1.097, "magmom_total_mub_per_fu": 5.72, "lattice_angstrom": [[6.353, 0.005, 0.707], [0.642, 6.246, 0.676], [0.019, 0.081, 6.315]], "species": ["Mn", "Mn", "Mn", "Mn", "Mn", "C", "Mn", "Mn", "Sc", "Mn", "Mn", "Sc", "Mn", "Mn", "Mn", "Mn", "Mn", "C", "Mn", "Mn", "Mn"], "fractional_positions": [[0.657, 0.659, 0.147], [0.099, 0.098, 0.098], [0.657, 0.147, 0.659], [0.901, 0.902, 0.902], [0.000, 0.000, 0.500], [0.500, 0.500, 0.000], [0.000, 0.500, 0.000], [0.343, 0.853, 0.341], [0.644, 0.653, 0.653], [0.723, 0.282, 0.005], [0.127, 0.643, 0.643], [0.356, 0.347, 0.347], [0.343, 0.341, 0.853], [0.723, 0.005, 0.282], [0.873, 0.357, 0.357], [0.500, 0.000, 0.000], [0.277, 0.995, 0.718], [0.500, 0.000, 0.500], [0.000, 0.718, 0.282], [0.277, 0.718, 0.995], [0.000, 0.282, 0.718]]}